This record from the Alexandria database describes a relaxed structure of Tb2Tm3Tl3. The functional is GGA-PBE.

* space group: Pmmm, No. 47
* magnetic moment: 1.4 μB/cell
* uncorrected energy: -3.94 eV/atom

abc: 4.929 4.952 9.074
angles: 90.00 90.00 90.00
Site moments in Bohr magnetons follow the coordinates.
Positions (direct):
Tb (0.000, 0.000, 0.740)  0.20
Tb (0.000, 0.000, 0.260)  0.20
Tm (0.500, 0.500, 0.735)  0.20
Tm (0.500, 0.500, 0.265)  0.20
Tm (0.500, 0.000, 0.000)  0.32
Tl (0.500, 0.000, 0.500)  0.00
Tl (0.000, 0.500, 0.000)  -0.01
Tl (0.000, 0.500, 0.500)  0.00